Li2PuPd2Pb | PBE | relaxed

The space group is P-3m1 (No. 164) and the conventional cell measures 4.4806, 4.4806 and 6.6216 Å, with angles of 90.00, 90.00 and 120.00 degrees. The inequivalent atoms are Li at (0.3333, 0.6667, 0.1674), Pu at (0.0000, 0.0000, 0.5000), Pd at (0.3333, 0.6667, 0.7399) and Pb at (0.0000, 0.0000, 0.0000).

The calculation puts the final energy at -5.689 eV/atom. The value obtained for the formation energy is -1.88 eV per formula unit.